1.
## SrLaAl (PBE-GGA)

Data for a relaxed structure of SrLaAl.

a b c (Å): 7.3136 5.5601 9.6858
angles (deg): 90.00 90.00 90.00
With the nearest neighbours (Å) after each atom.
Element x y z (fractional)
Sr 0.0052 0.2500 0.7753  5 Al 3.52-3.76, 6 La 3.64-3.80, 2 Sr 3.69
Sr 0.4948 0.7500 0.2753  5 Al 3.52-3.76, 6 La 3.64-3.80, 2 Sr 3.69
Sr 0.9948 0.7500 0.2247  5 Al 3.52-3.76, 6 La 3.64-3.80, 2 Sr 3.69
Sr 0.5052 0.2500 0.7247  5 Al 3.52-3.76, 6 La 3.64-3.80, 2 Sr 3.69
Al 0.7554 0.2500 0.4140  4 La 3.22-3.38, 1 Sr 3.52
Al 0.7446 0.7500 0.9140  4 La 3.22-3.38, 1 Sr 3.52
Al 0.2446 0.7500 0.5860  4 La 3.22-3.38, 1 Sr 3.52
Al 0.2554 0.2500 0.0860  4 La 3.22-3.38, 1 Sr 3.52
La 0.2182 0.2500 0.4173  4 Al 3.22-3.38
La 0.2818 0.7500 0.9173  4 Al 3.22-3.38
La 0.7818 0.7500 0.5827  4 Al 3.22-3.38
La 0.7182 0.2500 0.0827  4 Al 3.22-3.38

## Properties
* formation enthalpy at 0 K: -0.185 eV/atom
* energy relative to the lowest polymorph listed for this composition: 21 meV/atom

2.
## TaSn2IrRh (PBE-GGA)

Data for a relaxed structure of TaSn2IrRh.

a b c (Å): 5.2703 4.6189 5.2703
angles (deg): 90.00 90.00 90.00
With the nearest neighbours (Å) after each atom.
Element x y z (fractional)
Ir 0.5000 0.5000 0.5000  8 Sn 3.50, 4 Rh 3.73
Rh 0.0000 0.5000 0.0000  2 Ta 2.31
Sn 0.0000 0.0000 0.5000  2 Ta 2.64
Sn 0.5000 0.0000 0.0000  2 Ta 2.64
Ta 0.0000 0.0000 0.0000  2 Rh 2.31

## Properties
* formation enthalpy at 0 K: 1.416 eV/atom

3.
## Pa4Se5F (PBE-GGA)

Data for a relaxed structure of Pa4Se5F.

a b c (Å): 3.8360 7.9122 8.8178
angles (deg): 103.95 102.56 90.00
With the nearest neighbours (Å) after each atom.
Element x y z (fractional)
Pa 0.3422 0.9191 0.6844  1 F 2.63, 5 Se 2.81-2.90
Pa 0.0046 0.7714 0.0091  2 F 2.65, 4 Se 2.82-2.87
Pa 0.6578 0.0809 0.3156  1 F 2.63, 5 Se 2.81-2.90
Pa 0.9954 0.2286 0.9909  2 F 2.65, 4 Se 2.82-2.87
Se 0.8363 0.6543 0.6725  3 Pa 2.82
Se 0.8262 0.1829 0.6524  4 Pa 2.81-2.90
Se 0.1738 0.8171 0.3476  4 Pa 2.81-2.90
Se 0.5000 0.5000 0.0000  4 Pa 2.87
Se 0.1637 0.3457 0.3275  3 Pa 2.82
F 0.5000 0.0000 0.0000  6 Pa 2.63-2.65

## Properties
* ΔE_f (raw): -13.11 eV per formula unit

4.
## CrTeMo3 (PBE-GGA)

Data for a relaxed structure of CrTeMo3.

a b c (Å): 4.5596 4.5596 4.5596
angles (deg): 90.00 90.00 90.00
With the nearest neighbours (Å) after each atom.
Element x y z (fractional)
Cr 0.0000 0.0000 0.0000  6 Mo 2.28
Mo 0.0000 0.5000 0.0000  2 Cr 2.28
Mo 0.0000 0.0000 0.5000  2 Cr 2.28
Mo 0.5000 0.0000 0.0000  2 Cr 2.28
Te 0.5000 0.5000 0.5000  12 Mo 3.22

## Properties
* ΔE_f (raw): 5.95 eV per formula unit
* energy relative to the lowest polymorph listed for this composition: 0 meV/atom

5.
## TlBiS2 (PBE-GGA)

Data for a relaxed structure of TlBiS2.

a b c (Å): 4.2189 4.2189 5.8270
angles (deg): 90.00 90.00 90.00
With the nearest neighbours (Å) after each atom.
Element x y z (fractional)
Tl 0.0000 0.0000 0.0000  6 S 2.91-2.98
Bi 0.5000 0.5000 0.5000  6 S 2.91-2.98
S 0.0000 0.0000 0.5000  2 Tl 2.91, 4 Bi 2.98
S 0.5000 0.5000 0.0000  2 Bi 2.91, 4 Tl 2.98

## Properties
* ΔE_f (raw): -0.82 eV per formula unit

6.
## MgFeAs3 (PBE-GGA)

Data for a relaxed structure of MgFeAs3.

a b c (Å): 4.6327 4.6327 4.6327
angles (deg): 90.00 90.00 90.00
With the nearest neighbours (Å) after each atom.
Element x y z (fractional)
Mg 0.5000 0.5000 0.5000  12 As 3.28
As 0.0000 0.5000 0.0000  2 Fe 2.32
As 0.0000 0.0000 0.5000  2 Fe 2.32
As 0.5000 0.0000 0.0000  2 Fe 2.32
Fe 0.0000 0.0000 0.0000  6 As 2.32

## Properties
* formation enthalpy at 0 K: 0.274 eV/atom
* energy relative to the lowest polymorph listed for this composition: 0 meV/atom

| no. | total magnetization (μB/f.u.) | D(E_F) (states/eV per cell) | calculated total energy (eV/f.u.) |
| --- | --- | --- | --- |
| 1 | 0.00 | 2.07 | -10.91 |
| 2 | 1.33 | 5.77 | -28.99 |
| 3 | 2.35 | 14.98 | -70.39 |
| 4 | 0.00 | 8.92 | -39.31 |
| 5 | 0.00 | 1.16 | -15.33 |
| 6 | 0.00 | 5.04 | -22.63 |